Computed, not measured: an optimized crystal structure of CeCd2Pd at the PBE-GGA level of DFT.

Density   8.9 g/cm3
Formation energy   0.005 eV per atom
Space-group type   No. 166
Magnetic moment   0.59 μB per formula unit

Lattice parameters (Å, degrees): 11.2750 11.2750 11.2750 15.42 15.42 15.42
Fractional positions:
Ce (0.0000, 0.0000, 0.0000)
Cd (0.0996, 0.0996, 0.0996)
Cd (0.9004, 0.9004, 0.9004)
Pd (0.5000, 0.5000, 0.5000)